(1)
First-principles (GGA-PBE) data for a geometry-optimized BaSrAs2 structure, as listed in Alexandria.

Geometry as CIF:
```
data_BaSrAs2
_symmetry_space_group_name_H-M 'P m m m'
_symmetry_Int_Tables_number 47
_cell_length_a 3.742
_cell_length_b 5.413
_cell_length_c 6.566
_cell_angle_alpha 90.00
_cell_angle_beta 90.00
_cell_angle_gamma 90.00
loop_
_symmetry_equiv_pos_as_xyz
'x,y,z'
'-x,-y,-z'
'-x,-y,z'
'x,y,-z'
'x,-y,-z'
'-x,y,z'
'-x,y,-z'
'x,-y,z'
loop_
_atom_site_label
_atom_site_type_symbol
_atom_site_fract_x
_atom_site_fract_y
_atom_site_fract_z
Ba1 Ba 0.000 0.000 0.000
Sr1 Sr 0.500 0.500 0.500
As1 As 0.000 0.000 0.500
As2 As 0.500 0.500 0.000
```

## Properties
Formation energy from the elements, meV/atom: -769.1
ΔE to the lowest computed polymorph, eV per formula unit: 0.83
Fermi-level density of states, states/eV/cell: 3.40

(2)
First-principles (GGA-PBE) data for a geometry-optimized Pm3Er12Sc structure, as listed in Alexandria.

Geometry as CIF:
```
data_Pm3Er12Sc
_symmetry_space_group_name_H-M 'P 4/m m m'
_symmetry_Int_Tables_number 123
_symmetry_space_group_name_Hall '-P 4 2'
_cell_length_a 4.980
_cell_length_b 4.980
_cell_length_c 19.889
_cell_angle_alpha 90.00
_cell_angle_beta 90.00
_cell_angle_gamma 90.00
loop_
_atom_site_label
_atom_site_type_symbol
_atom_site_fract_x
_atom_site_fract_y
_atom_site_fract_z
Pm1 Pm 0.000 0.000 0.000
Pm2 Pm 0.000 0.000 0.252
Er1 Er 0.000 0.500 0.127
Er2 Er 0.000 0.500 0.380
Er3 Er 0.500 0.500 0.000
Er4 Er 0.500 0.500 0.254
Er5 Er 0.500 0.500 0.500
Sc1 Sc 0.000 0.000 0.500
```

## Properties
Formation energy from the elements, meV/atom: 28.8
Fermi-level density of states, states/eV/cell: 22.11

(3)
First-principles (GGA-PBE) data for a geometry-optimized TlFe2SbBr8 structure, as listed in Alexandria.

Geometry as CIF:
```
data_TlFe2SbBr8
_symmetry_space_group_name_H-M 'C 1 2/m 1'
_symmetry_Int_Tables_number 12
_cell_length_a 11.236
_cell_length_b 7.893
_cell_length_c 9.792
_cell_angle_alpha 90.00
_cell_angle_beta 93.85
_cell_angle_gamma 90.00
loop_
_symmetry_equiv_pos_as_xyz
'x,y,z'
'-x,-y,-z'
'-x,y,-z'
'x,-y,z'
'x+1/2,y+1/2,z'
'-x+1/2,-y+1/2,-z'
'-x+1/2,y+1/2,-z'
'x+1/2,-y+1/2,z'
loop_
_atom_site_label
_atom_site_type_symbol
_atom_site_fract_x
_atom_site_fract_y
_atom_site_fract_z
Tl1 Tl 0.000 0.000 0.000
Fe1 Fe 0.126 0.500 0.278
Sb1 Sb 0.000 0.000 0.500
Br1 Br 0.009 0.256 0.712
Br2 Br 0.210 0.500 0.064
Br3 Br 0.248 0.500 0.493
```

## Properties
Formation energy (no corrections), meV per atom: -513
Fermi-level density of states, states/eV/cell: 18.97

(4)
First-principles (GGA-PBE) data for a geometry-optimized Ac2Sm3Pt2 structure, as listed in Alexandria.

Geometry as CIF:
```
data_Ac2Sm3Pt2
_symmetry_space_group_name_H-M 'C 1 2/m 1'
_symmetry_Int_Tables_number 12
_cell_length_a 12.790
_cell_length_b 3.970
_cell_length_c 9.494
_cell_angle_alpha 90.00
_cell_angle_beta 115.87
_cell_angle_gamma 90.00
loop_
_symmetry_equiv_pos_as_xyz
'x,y,z'
'-x,-y,-z'
'-x,y,-z'
'x,-y,z'
'x+1/2,y+1/2,z'
'-x+1/2,-y+1/2,-z'
'-x+1/2,y+1/2,-z'
'x+1/2,-y+1/2,z'
loop_
_atom_site_label
_atom_site_type_symbol
_atom_site_fract_x
_atom_site_fract_y
_atom_site_fract_z
Ac1 Ac 0.162 0.000 0.305
Sm1 Sm 0.000 0.500 0.500
Sm2 Sm 0.119 0.500 0.931
Pt1 Pt 0.164 0.000 0.740
```

## Properties
Formation energy from the elements, meV/atom: -711.8
Fermi-level density of states, states/eV/cell: 16.82

Repeat the second record exactly.
First-principles (GGA-PBE) data for a geometry-optimized Pm3Er12Sc structure, as listed in Alexandria.

Geometry as CIF:
```
data_Pm3Er12Sc
_symmetry_space_group_name_H-M 'P 4/m m m'
_symmetry_Int_Tables_number 123
_symmetry_space_group_name_Hall '-P 4 2'
_cell_length_a 4.980
_cell_length_b 4.980
_cell_length_c 19.889
_cell_angle_alpha 90.00
_cell_angle_beta 90.00
_cell_angle_gamma 90.00
loop_
_atom_site_label
_atom_site_type_symbol
_atom_site_fract_x
_atom_site_fract_y
_atom_site_fract_z
Pm1 Pm 0.000 0.000 0.000
Pm2 Pm 0.000 0.000 0.252
Er1 Er 0.000 0.500 0.127
Er2 Er 0.000 0.500 0.380
Er3 Er 0.500 0.500 0.000
Er4 Er 0.500 0.500 0.254
Er5 Er 0.500 0.500 0.500
Sc1 Sc 0.000 0.000 0.500
```

## Properties
Formation energy from the elements, meV/atom: 28.8
Fermi-level density of states, states/eV/cell: 22.11

What is the Fermi-level density of states in the second record? 22.11 states/eV/cell

Look up the Fermi-level density of states of the third one. 18.97 states/eV/cell